## PrSm2Lu (PBE)

Data for a relaxed PrSm2Lu crystal.

Lattice parameters (Å, degrees): 5.747 5.747 5.747 60.00 60.00 60.00
Positions (direct):
Pr (0.000, 0.000, 0.000)
Sm (0.250, 0.250, 0.250)
Sm (0.750, 0.750, 0.750)
Lu (0.500, 0.500, 0.500)

Computed properties:
D(E_F) ... 2.55 states/eV/atom
Calculated formation energy ... 147 meV per atom
Uncorrected energy ... -4.54 eV per atom
ΔE to the lowest computed polymorph ... 129 meV/atom
Total magnetic moment ... 0.2 μB/f.u.
Symmetry ... Fm-3m, No. 225